No. 1
Material: CaTc3As
Method: DFT, GGA-PBE
State: relaxed Values from VASP.

The structure in Quantum ESPRESSO input format:
```
&SYSTEM
  ibrav = 0, nat = 5, ntyp = 3
/
ATOMIC_SPECIES
Ca 40.08 Ca.upf
Tc 98.00 Tc.upf
As 74.92 As.upf
CELL_PARAMETERS angstrom
4.666 0.000 0.000
0.000 4.666 0.000
0.000 0.000 4.666
ATOMIC_POSITIONS angstrom
Ca 0.000 0.000 0.000
Tc 0.000 0.000 2.333
Tc 0.000 2.333 0.000
Tc 2.333 0.000 0.000
As 2.333 2.333 2.333
```

Summary:
energy relative to the lowest polymorph listed for this composition	1833.4	meV/atom
formation energy from the elements	2.548	eV per atom
electronic total energy	-5.0019	eV per atom


No. 2
Material: Sc2SbI
Method: DFT, GGA-PBE
State: relaxed Values from VASP.

The structure in Quantum ESPRESSO input format:
```
&SYSTEM
  ibrav = 0, nat = 16, ntyp = 3
/
ATOMIC_SPECIES
Sc 44.96 Sc.upf
Sb 121.76 Sb.upf
I 126.90 I.upf
CELL_PARAMETERS angstrom
7.323 0.000 0.000
0.000 7.323 0.000
0.000 0.000 7.323
ATOMIC_POSITIONS angstrom
Sc 1.831 1.831 1.831
Sc 1.831 1.831 5.492
Sc 1.831 5.492 1.831
Sc 1.831 5.492 5.492
Sc 5.492 1.831 1.831
Sc 5.492 1.831 5.492
Sc 5.492 5.492 1.831
Sc 5.492 5.492 5.492
Sb 0.000 0.000 0.000
Sb 0.000 3.661 3.661
Sb 3.661 0.000 3.661
Sb 3.661 3.661 0.000
I 0.000 0.000 3.661
I 0.000 3.661 0.000
I 3.661 0.000 0.000
I 3.661 3.661 3.661
```

Summary:
energy relative to the elements, uncorrected	-0.589	eV/atom
electronic total energy	-5.1727	eV per atom


No. 3
Material: Y2Zn15Rh2
Method: DFT, GGA-PBE
State: relaxed Values from VASP.

The structure in Quantum ESPRESSO input format:
```
&SYSTEM
  ibrav = 0, nat = 19, ntyp = 3
/
ATOMIC_SPECIES
Y 88.91 Y.upf
Zn 65.41 Zn.upf
Rh 102.91 Rh.upf
CELL_PARAMETERS angstrom
4.495 2.595 4.334
-4.495 2.595 4.334
0.000 -5.190 4.334
ATOMIC_POSITIONS angstrom
Y 0.000 0.000 2.180
Y 0.000 0.000 10.822
Zn -2.247 -1.297 4.334
Zn 0.000 -2.617 4.107
Zn -2.266 1.309 4.107
Zn -1.276 -2.210 6.501
Zn -2.552 0.000 6.501
Zn -2.266 -1.309 8.895
Zn -2.247 1.297 8.668
Zn 1.276 -2.210 6.501
Zn 0.000 2.595 4.334
Zn -1.276 2.210 6.501
Zn 2.266 1.309 4.107
Zn 2.552 0.000 6.501
Zn 1.276 2.210 6.501
Zn 2.266 -1.309 8.895
Zn 0.000 2.617 8.895
Rh 0.000 0.000 5.071
Rh 0.000 0.000 7.932
```

Summary:
formation energy from the elements	-0.298	eV per atom
electronic total energy	-2.7584	eV per atom


No. 4
Material: K3U4Se12
Method: DFT, GGA-PBE
State: relaxed Values from VASP.

The structure in Quantum ESPRESSO input format:
```
&SYSTEM
  ibrav = 0, nat = 19, ntyp = 3
/
ATOMIC_SPECIES
K 39.10 K.upf
U 238.03 U.upf
Se 78.96 Se.upf
CELL_PARAMETERS angstrom
-5.418 5.418 5.418
5.418 -5.418 5.418
5.418 5.418 -5.418
ATOMIC_POSITIONS angstrom
K 5.418 0.000 0.000
K 0.000 5.418 0.000
K 0.000 0.000 5.418
U 2.709 2.709 -2.709
U 2.709 -2.709 2.709
U -2.709 2.709 2.709
U 2.709 2.709 2.709
Se 5.418 2.875 -2.527
Se 2.891 0.000 2.543
Se 7.945 0.000 2.543
Se 2.543 2.891 0.000
Se 2.875 -2.527 5.418
Se 5.418 2.875 2.527
Se 0.000 2.543 2.891
Se 2.543 7.945 0.000
Se 2.875 2.527 5.418
Se -2.527 5.418 2.875
Se 2.527 5.418 2.875
Se 0.000 2.543 7.945
```

Summary:
energy relative to the elements, uncorrected	-1.071	eV/atom
electronic total energy	-5.8219	eV per atom


No. 5
Material: IrBr
Method: DFT, GGA-PBE
State: relaxed Values from VASP.

The structure in Quantum ESPRESSO input format:
```
&SYSTEM
  ibrav = 0, nat = 4, ntyp = 2
/
ATOMIC_SPECIES
Ir 192.22 Ir.upf
Br 79.90 Br.upf
CELL_PARAMETERS angstrom
2.980 0.000 0.000
0.000 3.523 0.000
0.000 0.000 8.838
ATOMIC_POSITIONS angstrom
Ir 0.745 0.881 0.686
Ir 2.235 2.642 8.152
Br 0.745 2.642 2.464
Br 2.235 0.881 6.374
```

Summary:
energy relative to the lowest polymorph listed for this composition	41.5	meV/atom
energy relative to the elements, uncorrected	0.308	eV/atom
electronic total energy	-4.9588	eV per atom


No. 6
Material: La3TbMg
Method: DFT, GGA-PBE
State: relaxed Values from VASP.

The structure in Quantum ESPRESSO input format:
```
&SYSTEM
  ibrav = 0, nat = 10, ntyp = 3
/
ATOMIC_SPECIES
La 138.91 La.upf
Tb 158.93 Tb.upf
Mg 24.30 Mg.upf
CELL_PARAMETERS angstrom
3.593 0.000 0.000
0.000 7.217 0.000
-1.792 0.000 13.247
ATOMIC_POSITIONS angstrom
La -0.002 0.091 2.601
La -0.002 3.518 2.601
La -0.003 5.413 7.774
La 1.804 1.804 5.474
La 1.802 3.699 10.646
La 1.802 7.126 10.646
Tb 0.004 1.804 13.201
Tb 1.797 5.413 0.046
Mg 0.013 1.804 8.376
Mg 1.788 5.413 4.871
```

Summary:
energy relative to the lowest polymorph listed for this composition	50.5	meV/atom
formation energy from the elements	0.040	eV per atom
electronic total energy	-4.1617	eV per atom


No. 7
Material: LiYSb2
Method: DFT, GGA-PBE
State: relaxed Values from VASP.

The structure in Quantum ESPRESSO input format:
```
&SYSTEM
  ibrav = 0, nat = 4, ntyp = 3
/
ATOMIC_SPECIES
Li 6.94 Li.upf
Y 88.91 Y.upf
Sb 121.76 Sb.upf
CELL_PARAMETERS angstrom
3.459 0.000 0.000
0.000 3.459 0.000
0.000 0.000 8.428
ATOMIC_POSITIONS angstrom
Li 0.000 0.000 0.000
Y 0.000 0.000 4.214
Sb 1.729 1.729 2.033
Sb 1.729 1.729 6.395
```

Summary:
energy relative to the lowest polymorph listed for this composition	222.5	meV/atom
energy relative to the elements, uncorrected	-0.576	eV/atom
electronic total energy	-4.7320	eV per atom


No. 8
Material: Tm2TeF
Method: DFT, GGA-PBE
State: relaxed Values from VASP.

The structure in Quantum ESPRESSO input format:
```
&SYSTEM
  ibrav = 0, nat = 12, ntyp = 3
/
ATOMIC_SPECIES
Tm 168.93 Tm.upf
Te 127.60 Te.upf
F 19.00 F.upf
CELL_PARAMETERS angstrom
3.914 0.000 0.000
-1.957 3.390 0.000
0.000 0.000 20.314
ATOMIC_POSITIONS angstrom
Tm 0.000 0.000 4.688
Tm 0.000 0.000 15.626
Tm 0.000 2.260 8.855
Tm 0.000 2.260 18.231
Tm 1.957 1.130 2.083
Tm 1.957 1.130 11.460
Te 0.000 0.000 0.000
Te 0.000 2.260 13.543
Te 1.957 1.130 6.771
F 0.000 0.000 10.157
F 0.000 2.260 3.386
F 1.957 1.130 16.928
```

Summary:
energy relative to the elements, uncorrected	-1.532	eV/atom
electronic total energy	-5.0208	eV per atom


No. 9
Material: ReSiOF2
Method: DFT, GGA-PBE
State: relaxed Values from VASP.

The structure in Quantum ESPRESSO input format:
```
&SYSTEM
  ibrav = 0, nat = 5, ntyp = 4
/
ATOMIC_SPECIES
Re 186.21 Re.upf
Si 28.09 Si.upf
O 16.00 O.upf
F 19.00 F.upf
CELL_PARAMETERS angstrom
4.307 0.000 0.000
0.000 4.307 0.000
0.000 0.000 3.783
ATOMIC_POSITIONS angstrom
Re 0.000 0.000 0.000
Si 2.154 2.154 1.892
O 0.000 0.000 1.892
F 0.000 2.154 0.000
F 2.154 0.000 0.000
```

Summary:
energy relative to the lowest polymorph listed for this composition	0.0	meV/atom
energy relative to the elements, uncorrected	-0.469	eV/atom
electronic total energy	-5.7831	eV per atom


No. 10
Material: Tm3HfMg2
Method: DFT, GGA-PBE
State: relaxed Values from VASP.

The structure in Quantum ESPRESSO input format:
```
&SYSTEM
  ibrav = 0, nat = 6, ntyp = 3
/
ATOMIC_SPECIES
Tm 168.93 Tm.upf
Hf 178.49 Hf.upf
Mg 24.30 Mg.upf
CELL_PARAMETERS angstrom
3.389 0.000 0.000
0.000 3.389 0.000
0.000 0.000 13.775
ATOMIC_POSITIONS angstrom
Tm 0.000 0.000 0.000
Tm 0.000 0.000 4.668
Tm 0.000 0.000 9.107
Hf 1.695 1.695 6.888
Mg 1.695 1.695 2.279
Mg 1.695 1.695 11.496
```

Summary:
formation energy from the elements	-0.010	eV per atom
electronic total energy	-4.4365	eV per atom


No. 11
Material: Ac2Cd6Pt3
Method: DFT, GGA-PBE
State: relaxed Values from VASP.

The structure in Quantum ESPRESSO input format:
```
&SYSTEM
  ibrav = 0, nat = 11, ntyp = 3
/
ATOMIC_SPECIES
Ac 227.00 Ac.upf
Cd 112.41 Cd.upf
Pt 195.08 Pt.upf
CELL_PARAMETERS angstrom
8.472 0.000 0.000
-4.236 7.337 0.000
0.000 0.000 4.311
ATOMIC_POSITIONS angstrom
Ac 0.000 4.891 0.000
Ac 4.236 2.446 0.000
Cd -0.842 1.458 0.000
Cd -3.053 5.288 2.155
Cd 1.684 0.000 0.000
Cd 1.183 2.048 2.155
Cd 6.106 0.000 2.155
Cd 3.394 5.878 0.000
Pt -1.700 2.944 2.155
Pt 3.400 0.000 2.155
Pt 2.536 4.392 2.155
```

Summary:
formation energy from the elements	-0.536	eV per atom
electronic total energy	-3.4292	eV per atom


What is the electronic total energy in the first record?
-5.0019 eV per atom


Among the records above, which one has the highest electronic total energy?
Y2Zn15Rh2


Number 4 is which compound?
K3U4Se12


Repeat the third record exactly.
Material: Y2Zn15Rh2
Method: DFT, GGA-PBE
State: relaxed Values from VASP.

The structure in Quantum ESPRESSO input format:
```
&SYSTEM
  ibrav = 0, nat = 19, ntyp = 3
/
ATOMIC_SPECIES
Y 88.91 Y.upf
Zn 65.41 Zn.upf
Rh 102.91 Rh.upf
CELL_PARAMETERS angstrom
4.495 2.595 4.334
-4.495 2.595 4.334
0.000 -5.190 4.334
ATOMIC_POSITIONS angstrom
Y 0.000 0.000 2.180
Y 0.000 0.000 10.822
Zn -2.247 -1.297 4.334
Zn 0.000 -2.617 4.107
Zn -2.266 1.309 4.107
Zn -1.276 -2.210 6.501
Zn -2.552 0.000 6.501
Zn -2.266 -1.309 8.895
Zn -2.247 1.297 8.668
Zn 1.276 -2.210 6.501
Zn 0.000 2.595 4.334
Zn -1.276 2.210 6.501
Zn 2.266 1.309 4.107
Zn 2.552 0.000 6.501
Zn 1.276 2.210 6.501
Zn 2.266 -1.309 8.895
Zn 0.000 2.617 8.895
Rh 0.000 0.000 5.071
Rh 0.000 0.000 7.932
```

Summary:
formation energy from the elements	-0.298	eV per atom
electronic total energy	-2.7584	eV per atom